Record 1
DFT (PBE) results for a relaxed structure of Pm5As2S2.

It has space group Cmce (No. 64), with a = 14.6019 Å, b = 7.7105 Å, c = 7.8134 Å, α = 90.00°, β = 90.00° and γ = 90.00°. The inequivalent atoms are Pm at (0.0000, 0.0000, 0.0000), Pm at (0.1398, 0.1613, 0.3474), As at (0.0000, 0.1438, 0.6443) and S at (0.1940, 0.0000, 0.0000).

Its electronic total energy is -6.02 eV/atom. The calculation puts the raw formation energy at -1241.5 kJ/mol of formula units. The total magnetization comes out at 0.00 μB per atom. The density is 7.1 g/cm³.


Record 2
DFT (PBE) results for a relaxed structure of Pm4As2S.

It has space group I4/mmm (No. 139), with a = 5.1674 Å, b = 5.1674 Å, c = 15.3480 Å, α = 90.00°, β = 90.00° and γ = 90.00°. The inequivalent atoms are Pm at (0.0000, 0.0000, 0.1792), Pm at (0.0000, 0.5000, 0.0000), As at (0.0000, 0.0000, 0.3694) and S at (0.0000, 0.0000, 0.0000).

Its electronic total energy is -5.60 eV/atom. For the excess energy over the best structure of this formula in the dataset, the calculation gives 404 meV per atom. The calculation puts the raw formation energy at -656.3 kJ/mol of formula units. The total magnetization comes out at 0.00 μB per atom. The density is 6.2 g/cm³.


Record 3
DFT (PBE) results for a relaxed structure of Pm2AsS.

It has space group R-3m (No. 166, hexagonal axes), with a = 4.1525 Å, b = 4.1525 Å, c = 20.1983 Å, α = 90.00°, β = 90.00° and γ = 120.00°. The inequivalent atoms are Pm at (0.0000, 0.0000, 0.2494), As at (0.0000, 0.0000, 0.0000) and S at (0.0000, 0.0000, 0.5000).

Its electronic total energy is -6.38 eV/atom. For the excess energy over the best structure of this formula in the dataset, the calculation gives 3 meV per atom. The calculation puts the raw formation energy at -697.2 kJ/mol of formula units. The total magnetization comes out at 0.00 μB per atom. The density is 6.6 g/cm³.